No. 1
VASP calculation (PBE) on a relaxed structure of KRh6S8.

Computed properties:
- SG: R-3, No. 148
- E_form (uncorrected): -0.465 eV per atom

POSCAR file:
```
KRh6S8
1.0
4.6406 2.6792 3.7998
-4.6406 2.6792 3.7998
0.0000 -5.3585 3.7998
K Rh S
1 6 8
direct
0.0000 0.0000 0.0000
0.1891 0.4027 0.5674
0.4027 0.5674 0.1891
0.4326 0.8109 0.5973
0.5674 0.1891 0.4027
0.5973 0.4326 0.8109
0.8109 0.5973 0.4326
0.1434 0.7243 0.3859
0.2543 0.2543 0.2543
0.2757 0.6141 0.8566
0.3859 0.1434 0.7243
0.6141 0.8566 0.2757
0.7243 0.3859 0.1434
0.7457 0.7457 0.7457
0.8566 0.2757 0.6141
```

No. 2
VASP calculation (PBE) on a relaxed structure of ErTm2Sc3S6.

Computed properties:
- SG: C2/m, No. 12
- E_form (uncorrected): -1.901 eV per atom

POSCAR file:
```
ErTm2Sc3S6
1.0
8.2061 -1.8853 0.0000
8.2061 1.8853 0.0000
-1.7177 0.0000 7.3618
Er Tm Sc S
1 2 3 6
direct
0.0000 0.0000 0.0000
0.3336 0.3336 0.6673
0.6664 0.6664 0.3327
0.0000 0.0000 0.5000
0.3338 0.3338 0.1667
0.6662 0.6662 0.8333
0.1645 0.1645 0.5886
0.1696 0.1696 0.0781
0.4978 0.4978 0.2571
0.5022 0.5022 0.7429
0.8304 0.8304 0.9219
0.8355 0.8355 0.4114
```

No. 3
VASP calculation (PBE) on a relaxed structure of ReNiPb2.

Computed properties:
- ΔE to the lowest computed polymorph: 187 kJ/mol of formula units
- SG: I-4m2, No. 119
- Energy relative to the elements: 930 meV/atom

POSCAR file:
```
ReNiPb2
1.0
-1.9934 1.9934 4.8642
1.9934 -1.9934 4.8642
1.9934 1.9934 -4.8642
Re Ni Pb
1 1 2
direct
0.0000 0.0000 0.0000
0.2500 0.7500 0.5000
0.5000 0.5000 0.0000
0.7500 0.2500 0.5000
```

No. 4
VASP calculation (PBE) on a relaxed structure of NdSm2UO8.

Computed properties:
- SG: Pmmm, No. 47
- E_form (uncorrected): -3.205 eV per atom

POSCAR file:
```
NdSm2UO8
1.0
3.9492 0.0000 0.0000
0.0000 5.4771 0.0000
0.0000 0.0000 7.6919
Nd Sm U O
1 2 1 8
direct
0.0000 0.0000 0.0000
0.5000 0.5000 0.2536
0.5000 0.5000 0.7464
0.0000 0.0000 0.5000
0.0000 0.2387 0.2796
0.0000 0.2387 0.7204
0.0000 0.7613 0.2796
0.0000 0.7613 0.7204
0.5000 0.2244 0.5000
0.5000 0.2559 0.0000
0.5000 0.7441 0.0000
0.5000 0.7756 0.5000
```

No. 5
VASP calculation (PBE) on a relaxed structure of KCa2AlNi.

Computed properties:
- SG: P4/mmm, No. 123
- Energy relative to the elements: -24 meV/atom

POSCAR file:
```
KCa2AlNi
1.0
5.5916 0.0000 0.0000
0.0000 5.5916 0.0000
0.0000 0.0000 4.7958
K Ca Al Ni
1 2 1 1
direct
0.0000 0.0000 0.0000
0.0000 0.5000 0.5000
0.5000 0.0000 0.5000
0.5000 0.5000 0.0000
0.5000 0.5000 0.5000
```

No. 6
VASP calculation (PBE) on a relaxed structure of AsIr3Se.

Computed properties:
- ΔE to the lowest computed polymorph: 0 kJ/mol of formula units
- SG: Pm-3m, No. 221
- E_form (uncorrected): 1.275 eV per atom

POSCAR file:
```
AsIr3Se
1.0
4.6068 0.0000 0.0000
0.0000 4.6068 0.0000
0.0000 0.0000 4.6068
As Ir Se
1 3 1
direct
0.0000 0.0000 0.0000
0.0000 0.0000 0.5000
0.0000 0.5000 0.0000
0.5000 0.0000 0.0000
0.5000 0.5000 0.5000
```

- Which formula does entry 6 have?
  AsIr3Se